Re3CO | GGA-PBE | relaxed

Unit cell a=4.0456 b=4.0456 c=4.0456 alpha=90.00 beta=90.00 gamma=90.00
With the nearest neighbours (Å) after each atom.
Atoms (fractional coordinates):
Re 0.0000 0.0000 0.5000  2 C 2.02
Re 0.0000 0.5000 0.0000  2 C 2.02
Re 0.5000 0.0000 0.0000  2 C 2.02
C 0.0000 0.0000 0.0000  6 Re 2.02
O 0.5000 0.5000 0.5000  12 Re 2.86

## Properties
Magnetic moment in Bohr magnetons per cell: 0.9
DFT total energy in eV/cell: -45.69
Energy above the most stable polymorph in this dataset in meV per atom: 0
SG: Pm-3m
Raw formation energy in eV/atom: 1.17
Fermi-level density of states in states/eV/cell: 5.3